Version a
# LiCoP2O7 PBE+U optimized geometry
data_LiCoP2O7
_chemical_formula_sum 'Li1 Co1 P2 O7'
_symmetry_space_group_name_H-M 'P 1'
_symmetry_Int_Tables_number 1
_symmetry_space_group_name_Hall 'P 1'
_cell_length_a 5.231
_cell_length_b 5.231
_cell_length_c 4.517
_cell_angle_alpha 82.15
_cell_angle_beta 82.15
_cell_angle_gamma 103.27
loop_
_atom_site_label
_atom_site_fract_x
_atom_site_fract_y
_atom_site_fract_z
Co1 0.065 0.935 0.500
O1 0.066 0.591 0.753
O2 0.011 0.242 0.213
O3 0.796 0.716 0.300
O4 0.409 0.934 0.247
O5 0.284 0.204 0.700
O6 0.758 0.989 0.787
O7 0.470 0.530 0.000
P1 0.612 0.810 0.089
P2 0.190 0.388 0.911
Li1 0.694 0.306 0.500
# Space-group type: C2


Version b
# LiCoP2O7 PBE+U optimized geometry
data_LiCoP2O7
_chemical_formula_sum 'Li2 Co2 P4 O14'
_symmetry_space_group_name_H-M 'P 1'
_symmetry_Int_Tables_number 1
_symmetry_space_group_name_Hall 'P 1'
_cell_length_a 5.041
_cell_length_b 8.709
_cell_length_c 7.925
_cell_angle_alpha 71.25
_cell_angle_beta 71.46
_cell_angle_gamma 90.01
loop_
_atom_site_label
_atom_site_fract_x
_atom_site_fract_y
_atom_site_fract_z
O1 0.437 0.435 0.312
O2 0.987 0.238 0.498
O3 0.776 0.644 0.305
O4 0.789 0.124 0.855
O5 0.855 0.625 0.855
O6 0.211 0.848 0.138
O7 0.184 0.360 0.693
O8 0.151 0.348 0.138
O9 0.419 0.144 0.305
O10 0.751 0.935 0.312
O11 0.015 0.739 0.498
O12 0.292 0.078 0.684
O13 0.624 0.860 0.693
O14 0.524 0.578 0.684
Co1 0.481 0.506 0.496
Co2 0.523 0.006 0.496
P1 0.054 0.195 0.695
P2 0.257 0.297 0.299
P3 0.944 0.797 0.299
P4 0.751 0.695 0.695
Li1 0.118 0.468 0.904
Li2 0.479 0.968 0.903
# Space-group type: Cc


Stability, highest: version a